# 1
Compound: La9Al5Se21
Source: the Alexandria database
Functional: GGA-PBE
Structure: optimized geometry

Unit cell a=12.3920 b=12.3920 c=12.3920 alpha=95.15 beta=95.15 gamma=95.15
Last column: nearest neighbours and their distance in Å.
Sites, in units of the cell vectors:
La 0.0192 0.8054 0.1754  7 Se 3.03-3.24
La 0.0217 0.6422 0.7952  7 Se 3.00-3.25
La 0.1185 0.4991 0.3474  7 Se 2.99-3.26
La 0.1397 0.3650 0.9910  7 Se 2.99-3.29
La 0.1754 0.0192 0.8054  7 Se 3.03-3.24
La 0.3256 0.4712 0.6968  7 Se 3.02-3.21
La 0.3474 0.1185 0.4991  7 Se 2.99-3.26
La 0.3650 0.9910 0.1397  7 Se 2.99-3.29
La 0.4595 0.8324 0.6914  7 Se 3.01-3.21
La 0.4712 0.6968 0.3256  7 Se 3.02-3.21
La 0.4991 0.3474 0.1185  7 Se 2.99-3.26
La 0.6422 0.7952 0.0217  7 Se 3.00-3.25
La 0.6914 0.4595 0.8324  7 Se 3.01-3.21
La 0.6968 0.3256 0.4712  7 Se 3.02-3.21
La 0.7952 0.0217 0.6422  7 Se 3.00-3.25
La 0.8054 0.1754 0.0192  7 Se 3.03-3.24
La 0.8324 0.6914 0.4595  7 Se 3.01-3.21
La 0.9910 0.1397 0.3650  7 Se 2.99-3.29
Al 0.0256 0.3488 0.6922  4 Se 2.38-2.42
Al 0.1863 0.8534 0.5268  4 Se 2.38-2.42
Al 0.2200 0.2200 0.2200  6 Se 2.58-2.66
Al 0.3488 0.6922 0.0256  4 Se 2.38-2.42
Al 0.4044 0.4044 0.4044  3 Se 2.49
Al 0.5268 0.1863 0.8534  4 Se 2.38-2.42
Al 0.6922 0.0256 0.3488  4 Se 2.38-2.42
Al 0.7178 0.7178 0.7178  6 Se 2.59-2.65
Al 0.8534 0.5268 0.1863  4 Se 2.38-2.42
Al 0.9021 0.9021 0.9021  3 Se 2.48
Se 0.0241 0.2666 0.1696  1 Al 2.58
Se 0.0300 0.5630 0.1234  1 Al 2.41
Se 0.0643 0.7331 0.4015  1 Al 2.38
Se 0.0874 0.8501 0.9532  1 Al 2.48
Se 0.0928 0.5052 0.6078  1 Al 2.40
Se 0.1234 0.0300 0.5630  1 Al 2.41
Se 0.1696 0.0241 0.2666  1 Al 2.58
Se 0.1866 0.2732 0.7597  1 Al 2.40
Se 0.2018 0.2921 0.4255  2 Al 2.66-2.80
Se 0.2167 0.7877 0.7016  1 Al 2.39
Se 0.2325 0.5670 0.8996  1 Al 2.38
Se 0.2666 0.1696 0.0241  1 Al 2.58
Se 0.2732 0.7597 0.1866  1 Al 2.40
Se 0.2921 0.4255 0.2018  2 Al 2.66-2.80
Se 0.3396 0.5770 0.4797  1 Al 2.49
Se 0.3654 0.8789 0.4650  1 Al 2.42
Se 0.4015 0.0643 0.7331  1 Al 2.38
Se 0.4110 0.8525 0.9423  1 Al 2.42
Se 0.4255 0.2018 0.2921  2 Al 2.66-2.80
Se 0.4650 0.3654 0.8789  1 Al 2.42
Se 0.4797 0.3396 0.5770  1 Al 2.49
Se 0.5052 0.6078 0.0928  1 Al 2.40
Se 0.5388 0.6328 0.7820  1 Al 2.59
Se 0.5630 0.1234 0.0300  1 Al 2.41
Se 0.5670 0.8996 0.2325  1 Al 2.38
Se 0.5770 0.4797 0.3396  1 Al 2.49
Se 0.6078 0.0928 0.5052  1 Al 2.40
Se 0.6328 0.7820 0.5388  1 Al 2.59
Se 0.6847 0.9089 0.8170  2 Al 2.65-2.81
Se 0.7016 0.2167 0.7877  1 Al 2.39
Se 0.7331 0.4015 0.0643  1 Al 2.38
Se 0.7597 0.1866 0.2732  1 Al 2.40
Se 0.7820 0.5388 0.6328  1 Al 2.59
Se 0.7877 0.7016 0.2167  1 Al 2.39
Se 0.8170 0.6847 0.9089  2 Al 2.65-2.81
Se 0.8501 0.9532 0.0874  1 Al 2.48
Se 0.8525 0.9423 0.4110  1 Al 2.42
Se 0.8789 0.4650 0.3654  1 Al 2.42
Se 0.8996 0.2325 0.5670  1 Al 2.38
Se 0.9089 0.8170 0.6847  2 Al 2.65-2.81
Se 0.9423 0.4110 0.8525  1 Al 2.42
Se 0.9532 0.0874 0.8501  1 Al 2.48

ΔE_f (raw)	-1644	meV/atom
total moment	0.00	μB/atom


# 2
Compound: LaAlSe
Source: the Alexandria database
Functional: GGA-PBE
Structure: optimized geometry

Unit cell a=3.6973 b=3.6973 c=6.5331 alpha=90.00 beta=90.00 gamma=120.00
Last column: nearest neighbours and their distance in Å.
Sites, in units of the cell vectors:
La 0.0000 0.0000 0.0000  3 Se 3.16, 3 Al 3.40
Al 0.6667 0.3333 0.5948  3 Se 2.64
Se 0.3333 0.6667 0.3560  3 Al 2.64

energy relative to the lowest polymorph listed for this composition	0.4321	eV/atom
ΔE_f (raw)	-635	meV/atom
total moment	0.00	μB/atom


# 3
Compound: LaAlSe
Source: the Alexandria database
Functional: GGA-PBE
Structure: optimized geometry

Unit cell a=4.7181 b=4.7181 c=3.8595 alpha=90.00 beta=90.00 gamma=120.00
Last column: nearest neighbours and their distance in Å.
Sites, in units of the cell vectors:
La 0.0000 0.0000 0.0000  6 Se 3.34, 6 Al 3.34
Al 0.6667 0.3333 0.5000  3 Se 2.72
Se 0.3333 0.6667 0.5000  3 Al 2.72

energy relative to the lowest polymorph listed for this composition	0.2711	eV/atom
ΔE_f (raw)	-796	meV/atom
total moment	0.00	μB/atom


# 4
Compound: LaAlSe
Source: the Alexandria database
Functional: GGA-PBE
Structure: optimized geometry

Unit cell a=5.9664 b=5.9606 c=3.6402 alpha=72.32 beta=72.14 gamma=35.54
Last column: nearest neighbours and their distance in Å.
Sites, in units of the cell vectors:
La 0.0000 0.0000 0.0000  5 Se 3.28-3.34, 5 Al 3.30-3.31, 4 La 3.64
Al 0.6931 0.6931 0.3069  4 Se 2.86-2.88
Se 0.3109 0.3109 0.6891  4 Al 2.86-2.88

energy relative to the lowest polymorph listed for this composition	0.3778	eV/atom
ΔE_f (raw)	-690	meV/atom
total moment	0.11	μB/atom


# 5
Compound: LaAlSe3
Source: the Alexandria database
Functional: GGA-PBE
Structure: optimized geometry

Unit cell a=4.9430 b=4.9430 c=4.9430 alpha=90.00 beta=90.00 gamma=90.00
Last column: nearest neighbours and their distance in Å.
Sites, in units of the cell vectors:
La 0.0000 0.0000 0.0000  12 Se 3.50
Al 0.5000 0.5000 0.5000  6 Se 2.47
Se 0.0000 0.5000 0.5000  2 Al 2.47
Se 0.5000 0.0000 0.5000  2 Al 2.47
Se 0.5000 0.5000 0.0000  2 Al 2.47

energy relative to the lowest polymorph listed for this composition	0.2843	eV/atom
ΔE_f (raw)	-1122	meV/atom
total moment	0.00	μB/atom


# 6
Compound: LaAlSe2
Source: the Alexandria database
Functional: GGA-PBE
Structure: optimized geometry

Unit cell a=5.1722 b=5.1722 c=5.1722 alpha=60.00 beta=60.00 gamma=60.00
Last column: nearest neighbours and their distance in Å.
Sites, in units of the cell vectors:
La 0.0000 0.0000 0.0000  8 Se 3.17
Al 0.5000 0.5000 0.5000  8 Se 3.17
Se 0.2500 0.2500 0.2500  4 La 3.17, 4 Al 3.17
Se 0.7500 0.7500 0.7500  4 La 3.17, 4 Al 3.17

energy relative to the lowest polymorph listed for this composition	0.3228	eV/atom
ΔE_f (raw)	-1061	meV/atom
total moment	0.00	μB/atom


# 7
Compound: Sr2LaAlSe
Source: the Alexandria database
Functional: GGA-PBE
Structure: optimized geometry

Unit cell a=5.9872 b=5.9872 c=5.8278 alpha=90.00 beta=90.00 gamma=90.00
Last column: nearest neighbours and their distance in Å.
Sites, in units of the cell vectors:
Sr 0.0000 0.5000 0.0000  2 Al 2.99
Sr 0.5000 0.0000 0.0000  2 Al 2.99
La 0.0000 0.0000 0.5000  2 Al 2.91
Al 0.0000 0.0000 0.0000  2 La 2.91, 4 Sr 2.99
Se 0.5000 0.5000 0.5000  8 Sr 4.18, 4 La 4.23

ΔE_f (raw)	-139	meV/atom
total moment	0.00	μB/atom


# 8
Compound: LaAl2TeSe
Source: the Alexandria database
Functional: GGA-PBE
Structure: optimized geometry

Unit cell a=6.2112 b=6.2112 c=5.8787 alpha=90.00 beta=90.00 gamma=90.00
Last column: nearest neighbours and their distance in Å.
Sites, in units of the cell vectors:
La 0.0000 0.0000 0.0000  2 Te 2.94, 4 Al 3.11
Al 0.0000 0.5000 0.0000  2 La 3.11
Al 0.5000 0.0000 0.0000  2 La 3.11
Te 0.0000 0.0000 0.5000  2 La 2.94
Se 0.5000 0.5000 0.5000  8 Al 4.28, 4 Te 4.39

ΔE_f (raw)	776	meV/atom
total moment	0.09	μB/atom


# 9
Compound: LaAlTlSe3
Source: the Alexandria database
Functional: GGA-PBE
Structure: optimized geometry

Unit cell a=8.5503 b=8.5503 c=8.9152 alpha=102.63 beta=102.63 gamma=32.88
Last column: nearest neighbours and their distance in Å.
Sites, in units of the cell vectors:
La 0.1458 0.1458 0.0663  7 Se 3.02-3.15
La 0.8542 0.8542 0.9337  7 Se 3.02-3.15
Al 0.5001 0.5001 0.1504  4 Se 2.53-2.70, 1 Al 2.68
Al 0.4999 0.4999 0.8496  4 Se 2.53-2.70, 1 Al 2.68
Tl 0.1493 0.1493 0.5636  7 Se 3.20-3.51
Tl 0.8507 0.8507 0.4364  7 Se 3.20-3.51
Se 0.0048 0.0048 0.7692  2 Al 2.53
Se 0.3351 0.3351 0.1463  1 Al 2.70
Se 0.3466 0.3466 0.7090  1 Al 2.54
Se 0.6534 0.6534 0.2910  1 Al 2.54
Se 0.6649 0.6649 0.8537  1 Al 2.70
Se 0.9952 0.9952 0.2308  2 Al 2.53

ΔE_f (raw)	-1111	meV/atom
total moment	0.00	μB/atom


# 10
Compound: LaAlTl2Se4
Source: the Alexandria database
Functional: GGA-PBE
Structure: optimized geometry

Unit cell a=8.6603 b=8.6603 c=8.6603 alpha=123.53 beta=116.77 gamma=89.84
Last column: nearest neighbours and their distance in Å.
Sites, in units of the cell vectors:
La 0.0000 0.0000 0.0000  6 Se 3.00-3.05
La 0.5000 0.0000 0.5000  6 Se 3.00-3.05
Al 0.5000 0.0000 0.0000  6 Se 2.70-2.71
Al 0.5000 0.5000 0.5000  6 Se 2.70-2.71
Tl 0.0000 0.0000 0.5000  6 Se 3.43-3.46
Tl 0.0000 0.5000 0.0000  6 Se 3.43-3.46
Tl 0.0000 0.5000 0.5000  6 Se 3.16
Tl 0.5000 0.5000 0.0000  6 Se 3.16
Se 0.2792 0.2642 0.4850  1 Al 2.71, 2 La 3.00
Se 0.2792 0.7941 0.0150  1 Al 2.71, 2 La 3.00
Se 0.3021 0.2454 0.0567  2 Al 2.70
Se 0.3113 0.7546 0.5567  2 Al 2.70
Se 0.6887 0.2454 0.4433  2 Al 2.70
Se 0.6979 0.7546 0.9433  2 Al 2.70
Se 0.7208 0.2059 0.9850  1 Al 2.71, 2 La 3.00
Se 0.7208 0.7358 0.5150  1 Al 2.71, 2 La 3.00

ΔE_f (raw)	-937	meV/atom
total moment	0.00	μB/atom


# 11
Compound: La3AlTl4Se8
Source: the Alexandria database
Functional: GGA-PBE
Structure: optimized geometry

Unit cell a=9.1745 b=9.1745 c=9.1745 alpha=55.81 beta=55.81 gamma=55.81
Last column: nearest neighbours and their distance in Å.
Sites, in units of the cell vectors:
La 0.0000 0.5000 0.5000  6 Se 2.98-3.03
La 0.5000 0.0000 0.5000  6 Se 2.98-3.03
La 0.5000 0.5000 0.0000  6 Se 2.98-3.03
Al 0.0000 0.0000 0.0000  6 Se 2.71
Tl 0.0000 0.0000 0.5000  6 Se 3.31-3.32
Tl 0.0000 0.5000 0.0000  6 Se 3.31-3.32
Tl 0.5000 0.0000 0.0000  6 Se 3.31-3.32
Tl 0.5000 0.5000 0.5000  6 Se 3.58
Se 0.2165 0.2165 0.7656  1 Al 2.71, 2 La 3.03
Se 0.2165 0.7656 0.2165  1 Al 2.71, 2 La 3.03
Se 0.2344 0.7835 0.7835  1 Al 2.71, 2 La 3.03
Se 0.2616 0.2616 0.2616  3 La 2.98, 3 Tl 3.31
Se 0.7384 0.7384 0.7384  3 La 2.98, 3 Tl 3.31
Se 0.7656 0.2165 0.2165  1 Al 2.71, 2 La 3.03
Se 0.7835 0.2344 0.7835  1 Al 2.71, 2 La 3.03
Se 0.7835 0.7835 0.2344  1 Al 2.71, 2 La 3.03

ΔE_f (raw)	-1196	meV/atom
total moment	0.00	μB/atom


# 12
Compound: La3Al2Si4
Source: the Alexandria database
Functional: GGA-PBE
Structure: optimized geometry

Unit cell a=6.0741 b=6.0741 c=8.4650 alpha=97.92 beta=97.92 gamma=40.81
Last column: nearest neighbours and their distance in Å.
Sites, in units of the cell vectors:
La 0.0000 0.0000 0.0000  8 Si 3.25-3.28, 4 Al 3.28
La 0.3345 0.3345 0.3297  8 Si 3.17-3.30, 4 Al 3.26-3.29
La 0.6655 0.6655 0.6703  8 Si 3.17-3.30, 4 Al 3.26-3.29
Al 0.3873 0.3873 0.7227  3 Si 2.45
Al 0.6127 0.6127 0.2773  3 Si 2.45
Si 0.0569 0.0569 0.3915  1 Si 2.40, 2 Al 2.45
Si 0.2780 0.2780 0.9511  2 Si 2.39, 1 Al 2.45
Si 0.7220 0.7220 0.0489  2 Si 2.39, 1 Al 2.45
Si 0.9431 0.9431 0.6085  1 Si 2.40, 2 Al 2.45

energy relative to the lowest polymorph listed for this composition	0.0000	eV/atom
ΔE_f (raw)	-651	meV/atom
total moment	0.00	μB/atom